The following is a PBE-GGA calculation of a relaxed structure of SrBe2Ir2, from Alexandria via LeMat-Bulk.

POSCAR file:
```
SrBe2Ir2
1.0
7.156 0.000 0.000
0.000 7.156 0.000
0.000 0.000 2.914
Sr Be Ir
2 4 4
direct
0.000 0.000 0.000
0.500 0.500 0.000
0.117 0.383 0.000
0.383 0.883 0.000
0.617 0.117 0.000
0.883 0.617 0.000
0.147 0.647 0.500
0.353 0.147 0.500
0.647 0.853 0.500
0.853 0.353 0.500
```

Results
DOS(E_F), states/eV/f.u.: 2.434
E_form, eV per atom: -0.143

---

The following is a PBE-GGA calculation of a relaxed structure of SrBe4Ir, from Alexandria via LeMat-Bulk.

POSCAR file:
```
SrBe4Ir
1.0
0.000 3.389 3.389
3.389 0.000 3.389
3.389 3.389 0.000
Sr Be Ir
1 4 1
direct
0.000 0.000 0.000
0.138 0.621 0.621
0.621 0.138 0.621
0.621 0.621 0.138
0.621 0.621 0.621
0.250 0.250 0.250
```

Results
DOS(E_F), states/eV/f.u.: 5.073
E_form, eV per atom: 0.187

---

The following is a PBE-GGA calculation of a relaxed structure of SrBe2Ir, from Alexandria via LeMat-Bulk.

POSCAR file:
```
SrBe2Ir
1.0
2.688 -3.534 0.000
2.688 3.534 0.000
-0.011 0.000 4.031
Sr Be Ir
1 2 1
direct
0.000 0.000 0.000
0.454 0.546 0.000
0.649 0.351 0.500
0.349 0.651 0.500
```

Results
DOS(E_F), states/eV/f.u.: 1.355
E_form, eV per atom: 0.150

---

Number 3 is which compound?
SrBe2Ir